Entry w
{
  "formula": "ZnCr2NiH",
  "functional": "PBE",
  "state": "optimized geometry",
  "sg": "P4/mmm, No. 123",
  "rho_g_cm3": 3.79,
  "total_magnetization_mub_per_cell": 8.91,
  "lattice": [[4.823, 0.000, 0.000], [0.000, 4.318, 0.000], [0.000, 0.000, 4.823]],
  "species": ["Ni", "H", "Cr", "Cr", "Zn"],
  "fractional_positions": [[0.000, 0.500, 0.000], [0.500, 0.500, 0.500], [0.500, 0.000, 0.000], [0.000, 0.000, 0.500], [0.000, 0.000, 0.000]]
}

Entry x
{
  "formula": "ZnCr2NiH",
  "functional": "PBE",
  "state": "optimized geometry",
  "sg": "P4/mmm, No. 123",
  "rho_g_cm3": 7.62,
  "total_magnetization_mub_per_cell": 0.00,
  "lattice": [[3.531, 0.000, 0.000], [0.000, 3.531, 0.000], [0.000, 0.000, 4.004]],
  "species": ["Cr", "Cr", "Zn", "H", "Ni"],
  "fractional_positions": [[0.500, 0.000, 0.000], [0.000, 0.500, 0.000], [0.500, 0.500, 0.500], [0.000, 0.000, 0.000], [0.000, 0.000, 0.500]]
}

Relative energy of each structure, in meV per atom: entry w 1467; entry x 0.